# 1
Material: Na2Al3Zn
Method: DFT, PBE
State: relaxed

Values from the calculation:
Crystal system: monoclinic
Volume, Å³/atom: 20.37
Mass density, Mg/m³: 2.6
Total DFT energy (no corrections), eV for the cell shown: -14.92

a b c (Å): 5.583 5.583 5.566
angles (deg): 89.78 120.32 120.03
Fractional coordinates of all 6 atoms:
Na 0.751 0.376 0.127
Na 0.249 0.624 0.873
Al 0.500 0.500 0.500
Al 0.000 0.000 0.500
Al 0.500 0.000 0.500
Zn 0.000 0.000 0.000


# 2
Material: SiTe2Ir
Method: DFT, PBE
State: relaxed

Values from the calculation:
Crystal system: orthorhombic
Volume, Å³/atom: 22.33
Mass density, Mg/m³: 8.8
Formation energy (no corrections), eV per atom: 0.259
Total DFT energy (no corrections), eV for the cell shown: -19.53

a b c (Å): 6.464 6.464 6.464
angles (deg): 152.03 134.87 53.94
Fractional coordinates of all 4 atoms:
Ir 0.485 0.485 0.000
Si 0.325 0.825 0.500
Te 0.993 0.993 0.000
Te 0.697 0.197 0.500


# 3
Material: Ca3PmBi2As
Method: DFT, PBE
State: relaxed

Values from the calculation:
Crystal system: orthorhombic
Volume, Å³/atom: 35.28
Mass density, Mg/m³: 5.1
Total DFT energy (no corrections), eV for the cell shown: -29.33

a b c (Å): 5.555 5.353 9.157
angles (deg): 107.00 107.66 90.00
Fractional coordinates of all 7 atoms:
Ca 0.000 0.500 0.000
Ca 0.176 0.176 0.351
Ca 0.824 0.824 0.649
Pm 0.500 0.000 0.000
Bi 0.633 0.633 0.266
Bi 0.367 0.367 0.734
As 0.000 0.000 0.000


# 4
Material: AcCd2CuAu4
Method: DFT, PBE
State: relaxed

Values from the calculation:
Crystal system: trigonal
Volume, Å³/atom: 21.84
Mass density, Mg/m³: 12.4
Total DFT energy (no corrections), eV for the cell shown: -25.90

a b c (Å): 4.676 4.676 9.616
angles (deg): 75.93 75.93 60.00
Fractional coordinates of all 8 atoms:
Ac 0.000 0.000 0.000
Cd 0.762 0.762 0.714
Cd 0.238 0.238 0.286
Cu 0.500 0.500 0.500
Au 0.400 0.400 0.800
Au 0.865 0.865 0.405
Au 0.135 0.135 0.595
Au 0.600 0.600 0.200


# 5
Material: Ho2MnZn2Ni5
Method: DFT, PBE
State: relaxed

Values from the calculation:
Crystal system: tetragonal
Volume, Å³/atom: 15.04
Mass density, Mg/m³: 8.9
Total DFT energy (no corrections), eV for the cell shown: -104.17

a b c (Å): 3.556 9.197 9.197
angles (deg): 90.00 90.00 90.00
Site moments in Bohr magnetons follow the coordinates.
Fractional coordinates of all 20 atoms:
Ho 0.000 0.678 0.178  -0.10
Ho 0.000 0.322 0.822  -0.10
Ho 0.000 0.178 0.322  -0.10
Ho 0.000 0.822 0.678  -0.10
Mn 0.000 0.000 0.000  3.55
Mn 0.000 0.500 0.500  3.55
Zn 0.000 0.120 0.620  -0.01
Zn 0.000 0.880 0.380  -0.01
Zn 0.000 0.620 0.880  -0.01
Zn 0.000 0.380 0.120  -0.01
Ni 0.500 0.200 0.059  0.16
Ni 0.500 0.800 0.941  0.16
Ni 0.500 0.059 0.800  0.16
Ni 0.500 0.700 0.441  0.16
Ni 0.500 0.941 0.200  0.16
Ni 0.500 0.300 0.559  0.16
Ni 0.500 0.559 0.700  0.16
Ni 0.500 0.441 0.300  0.16
Ni 0.500 0.500 0.000  0.02
Ni 0.500 0.000 0.500  0.02


# 6
Material: Ca2BiMoN
Method: DFT, PBE
State: relaxed

Values from the calculation:
Crystal system: tetragonal
Volume, Å³/atom: 38.51
Mass density, Mg/m³: 3.4
Formation energy (no corrections), eV per atom: 1.560
Total DFT energy (no corrections), eV for the cell shown: -19.24

a b c (Å): 5.993 5.362 5.993
angles (deg): 90.00 90.00 90.00
Site moments in Bohr magnetons follow the coordinates.
Fractional coordinates of all 5 atoms:
Mo 0.000 0.500 0.000  3.12
Ca 0.000 0.000 0.500  0.05
Ca 0.500 0.000 0.000  0.07
Bi 0.000 0.000 0.000  -0.03
N 0.500 0.500 0.500  -1.13